{"formula": "ScTl2CrF6", "functional": "GGA+U", "state": "relaxed", "lattice_angstrom": [[-1.305, 2.581, -5.838], [3.720, -4.550, -2.843], [-6.561, -4.921, -0.709]], "species": ["Cr", "F", "Sc", "Tl", "F", "F", "Cr", "F", "F", "F", "Tl", "Tl", "F", "F", "Tl", "F", "Sc", "F", "F", "F"], "fractional_positions": [[0.000, 0.750, 0.500], [0.279, 0.470, 0.500], [0.500, 0.250, 0.500], [0.000, 0.250, 0.250], [0.721, 0.030, 0.500], [0.721, 0.470, 0.500], [0.500, 0.250, 0.000], [0.221, 0.530, 0.000], [0.500, 0.250, 0.750], [0.279, 0.030, 0.500], [0.500, 0.750, 0.250], [0.000, 0.250, 0.750], [0.779, 0.530, 0.000], [0.000, 0.750, 0.750], [0.500, 0.750, 0.750], [0.779, 0.970, 0.000], [0.000, 0.750, 0.000], [0.221, 0.970, 0.000], [0.000, 0.750, 0.250], [0.500, 0.250, 0.250]], "magmom_total_mub_per_cell": 9.81, "sg": "No. 71", "final_energy_ev_per_cell": -111.43}